Density functional theory data (PBE) for crystalline KLi2Cd at its relaxed geometry.

Structure (extended XYZ):
```
4
Lattice="-1.339 3.359 -1.556 -3.085 -2.934 -3.679 -4.119 -0.030 3.478" Properties=species:S:1:pos:R:3 pbc="T T T"
Cd -2.729 1.664 0.961
K -3.602 -1.482 -0.100
Li 0.000 0.000 0.000
Li -2.212 0.213 -2.617
```

The crystal system is orthorhombic. The space group is Pmmm, No. 47. The calculation puts the volume at 119.4 Å³/f.u. The calculation puts the calculated formation energy at 2.6 kcal/mol of atoms.